Record 1
Material: NaHoI2
Method: DFT, PBE-GGA
State: relaxed

Cell lengths 4.0129, 4.0129, 11.3939 Å; angles 79.86, 79.86, 60.00 degrees
Last column: nearest neighbours and their distance in Å.
Element x y z (fractional)
I 0.1060 0.1060 0.6821  3 Ho 3.08
I 0.8940 0.8940 0.3179  3 Ho 3.08
Na 0.0000 0.0000 0.0000  2 I 3.55
Ho 0.5000 0.5000 0.5000  6 I 3.08

Results
* energy: -12.31 eV for the cell shown
* V: 155.6 Å³/cell
* density: 4.71 g/cm3
* ΔE_f (raw): -0.828 eV/atom
* spin magnetization: 0.0 μB per cell
* Fermi-level density of states: 2.5 states/eV/cell

Record 2
Material: Cs3Pm3RuO8
Method: DFT, PBE-GGA
State: relaxed

Cell lengths 7.0663, 7.0673, 8.0499 Å; angles 116.05, 90.00, 120.00 degrees
Last column: nearest neighbours and their distance in Å.
Element x y z (fractional)
Cs 0.0000 0.0000 0.0000  6 O 3.08
Cs 0.0000 0.5000 0.0000  6 O 3.08-3.09
Cs 0.5000 0.5000 0.0000  6 O 3.08-3.09
Pm 0.5000 0.0000 0.5000  6 O 2.34-2.41
Pm 0.5000 0.5000 0.5000  6 O 2.34-2.41
Pm 0.0000 0.5000 0.5000  6 O 2.34-2.41
Ru 0.0000 0.0000 0.5000  6 O 2.12-2.13
O 0.2778 0.5557 0.3335  3 Pm 2.34
O 0.7222 0.4443 0.6665  3 Pm 2.34
O 0.7986 0.5972 0.3451  1 Ru 2.13
O 0.2014 0.4028 0.6549  1 Ru 2.13
O 0.7987 0.0463 0.3452  1 Ru 2.12
O 0.2013 0.9537 0.6548  1 Ru 2.12
O 0.2476 0.0463 0.3452  1 Ru 2.12
O 0.7524 0.9537 0.6548  1 Ru 2.12

Results
* energy: -98.50 eV for the cell shown
* V: 300.1 Å³/cell
* density: 5.88 g/cm3
* ΔE_f (raw): -2.183 eV/atom
* spin magnetization: 2.0 μB per cell
* Fermi-level density of states: 5.7 states/eV/cell

Record 3
Material: Mo2AsBr
Method: DFT, PBE-GGA
State: relaxed

Cell lengths 3.8502, 4.1125, 5.9681 Å; angles 91.21, 90.00, 90.00 degrees
Last column: nearest neighbours and their distance in Å.
Element x y z (fractional)
Mo 0.0000 0.9315 0.1143  1 Mo 2.23, 2 As 2.46
Mo 0.0000 0.5685 0.3857  1 Mo 2.23, 2 As 2.46
As 0.5000 0.2500 0.2500  4 Mo 2.46
Br 0.5000 0.7500 0.7500  4 Mo 2.99

Results
* energy: -26.66 eV for the cell shown
* V: 94.5 Å³/cell
* density: 6.09 g/cm3
* ΔE_f (raw): 0.331 eV/atom
* spin magnetization: 0.0 μB per cell
* Fermi-level density of states: 1.9 states/eV/cell